Compound: PbBr2O6
Source: Alexandria
Functional: GGA-PBEsol
Structure: optimized geometry

Properties
Formation energy from raw total energies: -172 kJ/mol of formula units
Energy relative to the lowest polymorph listed for this composition: 0 meV/atom
Symmetry: C2/c, No. 15

Cell: 7.1696 7.1696 8.1931 Å, 122.76 122.76 64.82°
With the nearest neighbours (Å) after each atom.
Atoms (fractional coordinates):
Pb  0.1591  0.8409  0.7500  8 O 2.57-2.84
Pb  0.8409  0.1591  0.2500  8 O 2.57-2.84
Br  0.2983  0.3228  0.3144  3 O 1.68-1.70
Br  0.3228  0.2983  0.8144  3 O 1.68-1.70
Br  0.6772  0.7017  0.1856  3 O 1.68-1.70
Br  0.7017  0.6772  0.6856  3 O 1.68-1.70
O  0.0795  0.2002  0.6536  1 Br 1.68
O  0.2002  0.0795  0.1536  1 Br 1.68
O  0.2226  0.4171  0.5141  1 Br 1.70
O  0.2404  0.5801  0.9230  1 Br 1.68
O  0.4171  0.2226  0.0141  1 Br 1.70
O  0.4199  0.7596  0.5770  1 Br 1.68
O  0.5801  0.2404  0.4230  1 Br 1.68
O  0.5829  0.7774  0.9859  1 Br 1.70
O  0.7596  0.4199  0.0770  1 Br 1.68
O  0.7774  0.5829  0.4859  1 Br 1.70
O  0.7998  0.9205  0.8464  1 Br 1.68
O  0.9205  0.7998  0.3464  1 Br 1.68